(1)
Entry from Alexandria: a relaxed RbPuScBr6 crystal (PBE).

a = 7.3099 Å, b = 7.3099 Å, c = 15.4080 Å
α = 90.00°, β = 90.00°, γ = 120.00°
With the nearest neighbours (Å) after each atom.
Atoms (fractional coordinates):
Rb  0.0000  0.0000  0.0000  6 Br 3.49
Rb  0.0000  0.0000  0.5000  6 Br 3.49
Pu  0.3333  0.6667  0.2500  6 Br 2.96
Pu  0.6667  0.3333  0.7500  6 Br 2.96
Sc  0.3333  0.6667  0.7500  6 Br 2.71
Sc  0.6667  0.3333  0.2500  6 Br 2.71
Br  0.0260  0.3779  0.6457  1 Sc 2.71, 1 Pu 2.96
Br  0.0260  0.6481  0.8543  1 Sc 2.71, 1 Pu 2.96
Br  0.3519  0.3779  0.8543  1 Sc 2.71, 1 Pu 2.96
Br  0.3519  0.9740  0.6457  1 Sc 2.71, 1 Pu 2.96
Br  0.3779  0.0260  0.1457  1 Sc 2.71, 1 Pu 2.96
Br  0.3779  0.3519  0.3543  1 Sc 2.71, 1 Pu 2.96
Br  0.6221  0.6481  0.6457  1 Sc 2.71, 1 Pu 2.96
Br  0.6221  0.9740  0.8543  1 Sc 2.71, 1 Pu 2.96
Br  0.6481  0.0260  0.3543  1 Sc 2.71, 1 Pu 2.96
Br  0.6481  0.6221  0.1457  1 Sc 2.71, 1 Pu 2.96
Br  0.9740  0.3519  0.1457  1 Sc 2.71, 1 Pu 2.96
Br  0.9740  0.6221  0.3543  1 Sc 2.71, 1 Pu 2.96

Computed properties:
The calculation puts the volume at 39.612 Å³/atom. The formation energy without anion corrections is -1656 meV/atom. As for the theoretical density: 4.0 g/cm³.


(2)
Entry from Alexandria: a relaxed NdYGaNi crystal (PBE).

a = 7.1213 Å, b = 7.1213 Å, c = 7.1213 Å
α = 90.00°, β = 90.00°, γ = 90.00°
With the nearest neighbours (Å) after each atom.
Atoms (fractional coordinates):
Nd  0.0000  0.0000  0.0000  4 Ga 3.08, 4 Ni 3.08
Nd  0.0000  0.5000  0.5000  4 Ga 3.08, 4 Ni 3.08
Nd  0.5000  0.0000  0.5000  4 Ga 3.08, 4 Ni 3.08
Nd  0.5000  0.5000  0.0000  4 Ga 3.08, 4 Ni 3.08
Y  0.0000  0.0000  0.5000  4 Ni 3.08, 4 Ga 3.08
Y  0.0000  0.5000  0.0000  4 Ni 3.08, 4 Ga 3.08
Y  0.5000  0.0000  0.0000  4 Ni 3.08, 4 Ga 3.08
Y  0.5000  0.5000  0.5000  4 Ni 3.08, 4 Ga 3.08
Ga  0.2500  0.2500  0.7500  4 Nd 3.08, 4 Y 3.08
Ga  0.2500  0.7500  0.2500  4 Nd 3.08, 4 Y 3.08
Ga  0.7500  0.2500  0.2500  4 Nd 3.08, 4 Y 3.08
Ga  0.7500  0.7500  0.7500  4 Y 3.08, 4 Nd 3.08
Ni  0.2500  0.2500  0.2500  4 Nd 3.08, 4 Y 3.08
Ni  0.2500  0.7500  0.7500  4 Nd 3.08, 4 Y 3.08
Ni  0.7500  0.2500  0.7500  4 Nd 3.08, 4 Y 3.08
Ni  0.7500  0.7500  0.2500  4 Nd 3.08, 4 Y 3.08

Computed properties:
The calculation puts the volume at 22.571 Å³/atom. As for the energy above the most stable polymorph in this dataset: 0.074 eV per atom. Its formation energy is -0.386 eV per atom. As for the theoretical density: 6.6 g/cm³.


(3)
Entry from Alexandria: a relaxed YZrFe2 crystal (PBE).

a = 3.3255 Å, b = 3.3255 Å, c = 23.7633 Å
α = 90.00°, β = 90.00°, γ = 120.00°
With the nearest neighbours (Å) after each atom.
Atoms (fractional coordinates):
Y  0.0000  0.0000  0.0000  6 Fe 2.86
Y  0.3333  0.6667  0.6667  6 Fe 2.86
Y  0.6667  0.3333  0.3333  6 Fe 2.86
Zr  0.0000  0.0000  0.5000  6 Fe 2.66
Zr  0.3333  0.6667  0.1667  6 Fe 2.66
Zr  0.6667  0.3333  0.8333  6 Fe 2.66
Fe  0.0000  0.0000  0.2444  3 Zr 2.66, 3 Y 2.86
Fe  0.0000  0.0000  0.7556  3 Zr 2.66, 3 Y 2.86
Fe  0.3333  0.6667  0.4223  3 Zr 2.66, 3 Y 2.86
Fe  0.3333  0.6667  0.9111  3 Zr 2.66, 3 Y 2.86
Fe  0.6667  0.3333  0.0889  3 Zr 2.66, 3 Y 2.86
Fe  0.6667  0.3333  0.5777  3 Zr 2.66, 3 Y 2.86

Computed properties:
The calculation puts the volume at 18.966 Å³/atom. As for the energy above the most stable polymorph in this dataset: 0.371 eV per atom. Its formation energy is 0.359 eV per atom. As for the theoretical density: 6.4 g/cm³.


(4)
Entry from Alexandria: a relaxed Ta2TcRu crystal (PBE).

a = 2.7994 Å, b = 2.7994 Å, c = 8.3689 Å
α = 90.00°, β = 90.00°, γ = 90.00°
With the nearest neighbours (Å) after each atom.
Atoms (fractional coordinates):
Ta  0.0000  0.0000  0.0000  8 Ta 2.80-3.06, 4 Ru 2.90
Ta  0.5000  0.5000  0.2796  8 Ta 2.80-3.06, 4 Tc 2.97
Tc  0.0000  0.0000  0.5446  4 Ru 2.61, 4 Tc 2.80
Ru  0.5000  0.5000  0.7474  4 Tc 2.61, 4 Ru 2.80, 4 Ta 2.90

Computed properties:
The calculation puts the volume at 16.395 Å³/atom. Its formation energy is -0.024 eV per atom. As for the theoretical density: 14.2 g/cm³.


(5)
Entry from Alexandria: a relaxed Cd4PdPt2 crystal (PBE).

a = 6.6947 Å, b = 6.6947 Å, c = 6.1416 Å
α = 90.00°, β = 90.00°, γ = 90.00°
With the nearest neighbours (Å) after each atom.
Atoms (fractional coordinates):
Cd  0.2500  0.2500  0.2500  2 Pd 2.82, 4 Pt 2.82, 2 Cd 3.07
Cd  0.2500  0.2500  0.7500  2 Pd 2.82, 4 Pt 2.82, 2 Cd 3.07
Cd  0.2500  0.7500  0.2500  2 Pd 2.82, 4 Pt 2.82, 2 Cd 3.07
Cd  0.2500  0.7500  0.7500  2 Pd 2.82, 4 Pt 2.82, 2 Cd 3.07
Cd  0.7500  0.2500  0.2500  2 Pd 2.82, 4 Pt 2.82, 2 Cd 3.07
Cd  0.7500  0.2500  0.7500  2 Pd 2.82, 4 Pt 2.82, 2 Cd 3.07
Cd  0.7500  0.7500  0.2500  4 Pt 2.82, 2 Pd 2.82, 2 Cd 3.07
Cd  0.7500  0.7500  0.7500  4 Pt 2.82, 2 Pd 2.82, 2 Cd 3.07
Pd  0.0000  0.0000  0.0000  8 Cd 2.82
Pd  0.5000  0.5000  0.5000  8 Cd 2.82
Pt  0.0000  0.5000  0.0000  8 Cd 2.82, 2 Pt 3.07
Pt  0.0000  0.5000  0.5000  8 Cd 2.82, 2 Pt 3.07
Pt  0.5000  0.0000  0.0000  8 Cd 2.82, 2 Pt 3.07
Pt  0.5000  0.0000  0.5000  8 Cd 2.82, 2 Pt 3.07

Computed properties:
The calculation puts the volume at 19.662 Å³/atom. Its formation energy is -0.302 eV per atom. As for the theoretical density: 11.4 g/cm³.


(6)
Entry from Alexandria: a relaxed Be2ReSe crystal (PBE).

a = 5.3526 Å, b = 7.9498 Å, c = 2.8615 Å
α = 90.00°, β = 120.78°, γ = 90.00°
With the nearest neighbours (Å) after each atom.
Atoms (fractional coordinates):
Be  0.2500  0.2500  0.0000  2 Re 2.41, 2 Se 2.41, 2 Be 2.68
Be  0.2500  0.7500  0.0000  2 Se 2.41, 2 Re 2.41, 2 Be 2.68
Be  0.7500  0.2500  0.0000  2 Se 2.41, 2 Re 2.41, 2 Be 2.68
Be  0.7500  0.7500  0.0000  2 Se 2.41, 2 Re 2.41, 2 Be 2.68
Re  0.0000  0.0000  0.5000  4 Be 2.41, 2 Se 2.68
Re  0.5000  0.5000  0.5000  4 Be 2.41, 2 Se 2.68
Se  0.0000  0.5000  0.5000  4 Be 2.41, 2 Re 2.68
Se  0.5000  0.0000  0.5000  4 Be 2.41, 2 Re 2.68

Computed properties:
The calculation puts the volume at 13.076 Å³/atom. The formation energy without anion corrections is 571 meV/atom. As for the theoretical density: 9.0 g/cm³.


no.,magnetic moment (μB/cell),D(E_F) (states/eV per cell),electronic total energy (hartree per atom)
1,12.01,31.4,-0.190
2,0.00,15.5,-0.198
3,8.50,16.1,-0.280
4,0.00,3.5,-0.399
5,0.00,7.8,-0.121
6,0.00,4.1,-0.194